# 1
KNa3Al4Si4O16 | meta-GGA SCAN | single point on PBEsol structure Values from VASP.

```
&SYSTEM
  ibrav = 0, nat = 56, ntyp = 5
/
ATOMIC_SPECIES
K 39.10 K.upf
Na 22.99 Na.upf
Al 26.98 Al.upf
Si 28.09 Si.upf
O 16.00 O.upf
ATOMIC_POSITIONS crystal
K 0.0000 0.0000 0.0000
K 0.0000 0.0000 0.5000
Na 0.0045 0.4470 0.4931
Na 0.4425 0.9955 0.4931
Na 0.4470 0.4425 0.9931
Na 0.5530 0.5575 0.4931
Na 0.5575 0.0045 0.9931
Na 0.9955 0.5530 0.9931
Al 0.0885 0.3312 0.8063
Al 0.2427 0.9115 0.8063
Al 0.3312 0.2427 0.3063
Al 0.3333 0.6667 0.2951
Al 0.6667 0.3333 0.7951
Al 0.6688 0.7573 0.8063
Al 0.7573 0.0885 0.3063
Al 0.9115 0.6688 0.3063
Si 0.0893 0.3321 0.1778
Si 0.2427 0.9107 0.1778
Si 0.3321 0.2427 0.6778
Si 0.3333 0.6667 0.6926
Si 0.6667 0.3333 0.1926
Si 0.6679 0.7573 0.1778
Si 0.7573 0.0893 0.6778
Si 0.9107 0.6679 0.6778
O 0.0153 0.3093 0.9999
O 0.0437 0.7800 0.8041
O 0.0609 0.7764 0.1716
O 0.1574 0.5112 0.2314
O 0.1684 0.5255 0.7551
O 0.2200 0.2637 0.8041
O 0.2236 0.2845 0.1716
O 0.2637 0.0437 0.3041
O 0.2845 0.0609 0.6716
O 0.2940 0.9847 0.9999
O 0.3093 0.2940 0.4999
O 0.3333 0.6667 0.5005
O 0.3538 0.8426 0.2314
O 0.3571 0.8316 0.7551
O 0.4745 0.6429 0.7551
O 0.4888 0.6462 0.2314
O 0.5112 0.3538 0.7314
O 0.5255 0.3571 0.2551
O 0.6429 0.1684 0.2551
O 0.6462 0.1574 0.7314
O 0.6667 0.3333 0.0005
O 0.6907 0.7060 0.9999
O 0.7060 0.0153 0.4999
O 0.7155 0.9391 0.1716
O 0.7363 0.9563 0.8041
O 0.7764 0.7155 0.6716
O 0.7800 0.7363 0.3041
O 0.8316 0.4745 0.2551
O 0.8426 0.4888 0.7314
O 0.9391 0.2236 0.6716
O 0.9563 0.2200 0.3041
O 0.9847 0.6907 0.4999
CELL_PARAMETERS angstrom
9.9984 0.0000 0.0000
-4.9992 8.6589 0.0000
0.0000 0.0000 8.4252
```

**DOS(E_F)**: 0.000 states/eV/cell
**Polymorph energy (0 for the lowest one)**: 0 meV/atom

# 2
TcCS2 | meta-GGA SCAN | single point on PBEsol structure Values from VASP.

```
&SYSTEM
  ibrav = 0, nat = 8, ntyp = 3
/
ATOMIC_SPECIES
Tc 98.00 Tc.upf
C 12.01 C.upf
S 32.06 S.upf
ATOMIC_POSITIONS crystal
Tc 0.0000 0.0000 0.0000
Tc 0.7500 0.2500 0.5000
C 0.2500 0.7500 0.5000
C 0.5000 0.5000 0.0000
S 0.1777 0.6250 0.0527
S 0.3750 0.4277 0.5527
S 0.5723 0.1250 0.9473
S 0.8750 0.8223 0.4473
CELL_PARAMETERS angstrom
-2.4532 2.4532 4.4690
2.4532 -2.4532 4.4690
2.4532 2.4532 -4.4690
```

**DOS(E_F)**: 3.328 states/eV/cell

Formation energy (no corrections) in meV per atom, matching the order above: -3027 835